## BeCo3Ag (PBE)

Data for an optimized crystal structure of BeCo3Ag.

Properties
Raw total energy: -3.55 eV/atom
Magnetic moment: 1.125 μB/atom
Calculated formation energy: 10.137 eV/f.u.

Cell: 4.600 4.600 4.600 Å, 90.00 90.00 90.00°
Sites, in units of the cell vectors:
Be 0.000 0.000 0.000
Co 0.000 0.500 0.500
Co 0.500 0.000 0.500
Co 0.500 0.500 0.000
Ag 0.500 0.500 0.500


## BeCo2Ag (PBE)

Data for an optimized crystal structure of BeCo2Ag.

Properties
Raw total energy: -4.97 eV/atom
Magnetic moment: 0.719 μB/atom
Calculated formation energy: 0.906 eV/f.u.

Cell: 2.627 2.627 24.378 Å, 90.00 90.00 120.00°
Sites, in units of the cell vectors:
Be 0.000 0.000 0.000
Be 0.333 0.667 0.667
Be 0.667 0.333 0.333
Co 0.000 0.000 0.262
Co 0.000 0.000 0.518
Co 0.333 0.667 0.184
Co 0.333 0.667 0.929
Co 0.667 0.333 0.595
Co 0.667 0.333 0.851
Ag 0.000 0.000 0.753
Ag 0.333 0.667 0.420
Ag 0.667 0.333 0.087


## BeCoCu2Ag (PBE)

Data for an optimized crystal structure of BeCoCu2Ag.

Properties
Raw total energy: -3.07 eV/atom
Magnetic moment: 0.383 μB/atom
Calculated formation energy: 6.533 eV/f.u.

Cell: 4.345 4.345 4.775 Å, 90.00 90.00 90.00°
Sites, in units of the cell vectors:
Be 0.000 0.000 0.000
Co 0.500 0.500 0.500
Cu 0.000 0.500 0.500
Cu 0.500 0.000 0.500
Ag 0.500 0.500 0.000


## BeCoAgMo2 (PBE)

Data for an optimized crystal structure of BeCoAgMo2.

Properties
Raw total energy: -5.62 eV/atom
Magnetic moment: 0.000 μB/atom
Calculated formation energy: 7.221 eV/f.u.

Cell: 4.375 4.375 4.692 Å, 90.00 90.00 90.00°
Sites, in units of the cell vectors:
Be 0.000 0.000 0.000
Co 0.500 0.500 0.500
Ag 0.500 0.500 0.000
Mo 0.000 0.500 0.500
Mo 0.500 0.000 0.500


## NaBeCoAg2 (PBE)

Data for an optimized crystal structure of NaBeCoAg2.

Properties
Raw total energy: -2.69 eV/atom
Magnetic moment: 0.371 μB/atom
Calculated formation energy: 4.426 eV/f.u.

Cell: 4.420 4.420 4.718 Å, 90.00 90.00 90.00°
Sites, in units of the cell vectors:
Na 0.000 0.000 0.000
Be 0.000 0.000 0.500
Co 0.500 0.500 0.000
Ag 0.000 0.500 0.500
Ag 0.500 0.000 0.500


## NaBeCoAg2 (PBE)

Data for an optimized crystal structure of NaBeCoAg2.

Properties
Raw total energy: -1.99 eV/atom
Magnetic moment: 0.382 μB/atom
Calculated formation energy: 7.907 eV/f.u.

Cell: 4.724 4.724 4.456 Å, 90.00 90.00 90.00°
Sites, in units of the cell vectors:
Na 0.000 0.000 0.000
Be 0.000 0.000 0.500
Co 0.500 0.500 0.500
Ag 0.000 0.500 0.000
Ag 0.500 0.000 0.000


## BeCo2AgP (PBE)

Data for an optimized crystal structure of BeCo2AgP.

Properties
Raw total energy: -3.70 eV/atom
Magnetic moment: 0.721 μB/atom
Calculated formation energy: 7.720 eV/f.u.

Cell: 4.661 4.661 4.123 Å, 90.00 90.00 90.00°
Sites, in units of the cell vectors:
Be 0.000 0.000 0.000
Co 0.000 0.500 0.500
Co 0.500 0.000 0.500
Ag 0.000 0.000 0.500
P 0.500 0.500 0.000


## BeCoAgPd2 (PBE)

Data for an optimized crystal structure of BeCoAgPd2.

Properties
Raw total energy: -3.22 eV/atom
Magnetic moment: 0.404 μB/atom
Calculated formation energy: 7.985 eV/f.u.

Cell: 4.921 4.921 4.552 Å, 90.00 90.00 90.00°
Sites, in units of the cell vectors:
Be 0.000 0.000 0.000
Co 0.500 0.500 0.000
Ag 0.500 0.500 0.500
Pd 0.000 0.500 0.500
Pd 0.500 0.000 0.500


## Be2CoAgPt (PBE)

Data for an optimized crystal structure of Be2CoAgPt.

Properties
Raw total energy: -3.55 eV/atom
Magnetic moment: 0.329 μB/atom
Calculated formation energy: 5.719 eV/f.u.

Cell: 4.141 4.141 4.603 Å, 90.00 90.00 90.00°
Sites, in units of the cell vectors:
Be 0.000 0.500 0.000
Be 0.500 0.000 0.000
Co 0.000 0.000 0.500
Ag 0.000 0.000 0.000
Pt 0.500 0.500 0.500


## BeCo2AgSb (PBE)

Data for an optimized crystal structure of BeCo2AgSb.

Properties
Raw total energy: -3.58 eV/atom
Magnetic moment: 0.608 μB/atom
Formation energy (no corrections): 1404 meV/atom

Cell: 4.695 4.695 5.114 Å, 90.00 90.00 90.00°
Sites, in units of the cell vectors:
Be 0.000 0.000 0.000
Co 0.000 0.500 0.500
Co 0.500 0.000 0.500
Ag 0.500 0.500 0.000
Sb 0.500 0.500 0.500


## BeCoSiAg2 (PBE)

Data for an optimized crystal structure of BeCoSiAg2.

Properties
Raw total energy: -3.44 eV/atom
Magnetic moment: 0.385 μB/atom
Formation energy (no corrections): 951 meV/atom

Cell: 4.756 4.756 4.078 Å, 90.00 90.00 90.00°
Sites, in units of the cell vectors:
Be 0.000 0.000 0.000
Co 0.500 0.500 0.000
Si 0.000 0.000 0.500
Ag 0.000 0.500 0.500
Ag 0.500 0.000 0.500


## SrBeCoAg2 (PBE)

Data for an optimized crystal structure of SrBeCoAg2.

Properties
Raw total energy: -2.89 eV/atom
Magnetic moment: 0.319 μB/atom
Calculated formation energy: 3.776 eV/f.u.

Cell: 4.493 4.493 5.486 Å, 90.00 90.00 90.00°
Sites, in units of the cell vectors:
Sr 0.000 0.000 0.000
Be 0.000 0.000 0.500
Co 0.500 0.500 0.000
Ag 0.000 0.500 0.500
Ag 0.500 0.000 0.500


## Be3CrAg (PBE)

Data for an optimized crystal structure of Be3CrAg.

Properties
Raw total energy: -3.44 eV/atom
Magnetic moment: 0.015 μB/atom
Calculated formation energy: 6.462 eV/f.u.

Cell: 4.150 4.150 4.150 Å, 90.00 90.00 90.00°
Sites, in units of the cell vectors:
Be 0.000 0.000 0.500
Be 0.000 0.500 0.000
Be 0.500 0.000 0.000
Cr 0.500 0.500 0.500
Ag 0.000 0.000 0.000


## BeCrAg (PBE)

Data for an optimized crystal structure of BeCrAg.

Properties
Raw total energy: -5.00 eV/atom
Magnetic moment: 1.123 μB/atom
Calculated formation energy: 1.203 eV/f.u.

Cell: 2.902 2.902 9.748 Å, 90.00 90.00 90.00°
Sites, in units of the cell vectors:
Be 0.000 0.000 0.000
Be 0.500 0.500 0.500
Cr 0.000 0.000 0.357
Cr 0.500 0.500 0.857
Ag 0.000 0.000 0.652
Ag 0.500 0.500 0.152


## Be3CrAg (PBE)

Data for an optimized crystal structure of Be3CrAg.

Properties
Raw total energy: -3.47 eV/atom
Magnetic moment: 0.200 μB/atom
Calculated formation energy: 6.308 eV/f.u.

Cell: 4.106 4.106 4.106 Å, 90.00 90.00 90.00°
Sites, in units of the cell vectors:
Be 0.000 0.000 0.500
Be 0.000 0.500 0.000
Be 0.500 0.000 0.000
Cr 0.000 0.000 0.000
Ag 0.500 0.500 0.500


## BeCrAg4 (PBE)

Data for an optimized crystal structure of BeCrAg4.

Properties
Raw total energy: -3.51 eV/atom
Magnetic moment: 0.722 μB/atom
Calculated formation energy: 3.709 eV/f.u.

Cell: 5.387 5.387 5.387 Å, 60.00 60.00 60.00°
Sites, in units of the cell vectors:
Be 0.000 0.000 0.000
Cr 0.750 0.750 0.750
Ag 0.375 0.375 0.375
Ag 0.375 0.375 0.875
Ag 0.375 0.875 0.375
Ag 0.875 0.375 0.375


## BeCrAg3 (PBE)

Data for an optimized crystal structure of BeCrAg3.

Properties
Raw total energy: -3.83 eV/atom
Magnetic moment: 0.848 μB/atom
Calculated formation energy: 2.776 eV/f.u.

Cell: 4.439 4.439 4.439 Å, 90.00 90.00 90.00°
Sites, in units of the cell vectors:
Be 0.000 0.000 0.000
Cr 0.500 0.500 0.500
Ag 0.000 0.000 0.500
Ag 0.000 0.500 0.000
Ag 0.500 0.000 0.000


## BeCr4Ag (PBE)

Data for an optimized crystal structure of BeCr4Ag.

Properties
Raw total energy: -6.95 eV/atom
Magnetic moment: 0.000 μB/atom
Calculated formation energy: 3.359 eV/f.u.

Cell: 4.761 4.761 4.761 Å, 60.00 60.00 60.00°
Sites, in units of the cell vectors:
Be 0.000 0.000 0.000
Cr 0.120 0.627 0.627
Cr 0.627 0.120 0.627
Cr 0.627 0.627 0.120
Cr 0.627 0.627 0.627
Ag 0.250 0.250 0.250


## BeCrAg (PBE)

Data for an optimized crystal structure of BeCrAg.

Properties
Raw total energy: -4.92 eV/atom
Magnetic moment: 1.185 μB/atom
Calculated formation energy: 1.441 eV/f.u.

Cell: 4.149 4.149 2.869 Å, 90.00 90.00 120.00°
Sites, in units of the cell vectors:
Be 0.000 0.000 0.000
Cr 0.333 0.667 0.500
Ag 0.667 0.333 0.000


## BeCrAg (PBE)

Data for an optimized crystal structure of BeCrAg.

Properties
Raw total energy: -4.79 eV/atom
Magnetic moment: 1.276 μB/atom
Calculated formation energy: 1.840 eV/f.u.

Cell: 5.693 5.693 5.693 Å, 90.00 90.00 90.00°
Sites, in units of the cell vectors:
Be 0.000 0.000 0.000
Be 0.000 0.500 0.500
Be 0.500 0.000 0.500
Be 0.500 0.500 0.000
Cr 0.250 0.250 0.250
Cr 0.250 0.750 0.750
Cr 0.750 0.250 0.750
Cr 0.750 0.750 0.250
Ag 0.250 0.250 0.750
Ag 0.250 0.750 0.250
Ag 0.750 0.250 0.250
Ag 0.750 0.750 0.750


## Be4CrAg (PBE)

Data for an optimized crystal structure of Be4CrAg.

Properties
Raw total energy: -4.47 eV/atom
Magnetic moment: 0.659 μB/atom
Calculated formation energy: 0.533 eV/f.u.

Cell: 4.485 4.485 4.485 Å, 60.00 60.00 60.00°
Sites, in units of the cell vectors:
Be 0.125 0.125 0.125
Be 0.125 0.125 0.626
Be 0.125 0.626 0.125
Be 0.626 0.125 0.125
Cr 0.750 0.750 0.750
Ag 0.500 0.500 0.500


## BeCrAg3 (PBE)

Data for an optimized crystal structure of BeCrAg3.

Properties
Raw total energy: -2.89 eV/atom
Magnetic moment: 0.931 μB/atom
Calculated formation energy: 7.431 eV/f.u.

Cell: 4.964 4.964 4.964 Å, 90.00 90.00 90.00°
Sites, in units of the cell vectors:
Be 0.000 0.000 0.000
Cr 0.500 0.500 0.500
Ag 0.000 0.500 0.500
Ag 0.500 0.000 0.500
Ag 0.500 0.500 0.000